Record 1
A relaxed structure of Zr2HgHRu, computed with PBE-GGA.

Summary:
* symmetry: No. 123
* energy: -6.268 eV per atom

a = 4.5398 Å, b = 4.5398 Å, c = 3.8818 Å
α = 90.00°, β = 90.00°, γ = 90.00°
Atoms (fractional coordinates):
Zr  0.0000  0.5000  0.0000
Zr  0.5000  0.0000  0.0000
Hg  0.0000  0.0000  0.5000
H  0.5000  0.5000  0.0000
Ru  0.5000  0.5000  0.5000

Record 2
A relaxed structure of HgH2S6, computed with PBE-GGA.

Summary:
* symmetry: No. 14
* energy: -3.547 eV per atom

a = 4.8475 Å, b = 15.0794 Å, c = 6.6832 Å
α = 90.00°, β = 113.22°, γ = 90.00°
Atoms (fractional coordinates):
Hg  0.0000  0.0000  0.0000
Hg  0.0000  0.5000  0.5000
H  0.2115  0.0541  0.6276
H  0.2115  0.4459  0.1276
H  0.7885  0.5541  0.8724
H  0.7885  0.9459  0.3724
S  0.0776  0.1350  0.6168
S  0.0776  0.3650  0.1168
S  0.2330  0.6322  0.4312
S  0.2330  0.8678  0.9312
S  0.3113  0.6084  0.1563
S  0.3113  0.8916  0.6563
S  0.6887  0.1084  0.3437
S  0.6887  0.3916  0.8437
S  0.7670  0.1322  0.0688
S  0.7670  0.3678  0.5688
S  0.9224  0.6350  0.8832
S  0.9224  0.8650  0.3832

Record 3
A relaxed structure of HgHS6, computed with PBE-GGA.

Summary:
* symmetry: No. 2
* energy: -3.402 eV per atom

a = 5.0838 Å, b = 6.0934 Å, c = 7.2908 Å
α = 88.32°, β = 75.58°, γ = 80.96°
Atoms (fractional coordinates):
Hg  0.0000  0.0000  0.0000
H  0.0000  0.5000  0.0000
S  0.2496  0.2917  0.0087
S  0.3537  0.9107  0.4575
S  0.4327  0.3719  0.6523
S  0.5673  0.6281  0.3477
S  0.6463  0.0893  0.5425
S  0.7504  0.7083  0.9913

Record 4
A relaxed structure of Hg3HS, computed with PBE-GGA.

Summary:
* symmetry: No. 2
* offset from the most stable computed form: 0.00 eV/f.u.
* energy: -1.687 eV per atom

a = 4.0946 Å, b = 7.5841 Å, c = 8.4693 Å
α = 105.58°, β = 91.04°, γ = 105.23°
Atoms (fractional coordinates):
Hg  0.0586  0.1304  0.2268
Hg  0.1312  0.2675  0.7592
Hg  0.3483  0.6840  0.9504
Hg  0.6517  0.3160  0.0496
Hg  0.8688  0.7325  0.2408
Hg  0.9414  0.8696  0.7732
H  0.2839  0.5617  0.4528
H  0.7161  0.4383  0.5472
S  0.3792  0.7515  0.4712
S  0.6208  0.2485  0.5288

Record 5
A relaxed structure of Hg3H2S, computed with PBE-GGA.

Summary:
* symmetry: No. 2
* energy: -1.807 eV per atom

a = 6.0912 Å, b = 6.5290 Å, c = 7.6732 Å
α = 76.91°, β = 83.31°, γ = 85.41°
Atoms (fractional coordinates):
Hg  0.1214  0.0116  0.2343
Hg  0.3033  0.5636  0.0677
Hg  0.3577  0.6285  0.5764
Hg  0.6423  0.3715  0.4236
Hg  0.6967  0.4364  0.9323
Hg  0.8786  0.9884  0.7657
H  0.1909  0.8156  0.6639
H  0.2773  0.1901  0.2741
H  0.7227  0.8099  0.7259
H  0.8091  0.1844  0.3361
S  0.0483  0.2856  0.8213
S  0.9517  0.7144  0.1787

Record 6
A relaxed structure of HgH3S, computed with PBE-GGA.

Summary:
* symmetry: No. 221
* offset from the most stable computed form: 0.00 eV/f.u.
* energy: -2.274 eV per atom

a = 3.7651 Å, b = 3.7651 Å, c = 3.7651 Å
α = 90.00°, β = 90.00°, γ = 90.00°
Atoms (fractional coordinates):
Hg  0.0000  0.0000  0.0000
H  0.0000  0.5000  0.5000
H  0.5000  0.0000  0.5000
H  0.5000  0.5000  0.0000
S  0.5000  0.5000  0.5000